Density functional theory data (PBEsol) for crystalline TcBiN2 at its relaxed geometry.

Values from the calculation:
energy relative to the elements, uncorrected	0.855	eV/atom
D(E_F)	2.1	states/eV per cell

Cell: 3.349 3.349 6.736 Å, 75.60 75.60 60.00°
Sites, in units of the cell vectors:
N (0.904, 0.904, 0.287)
N (0.096, 0.096, 0.713)
Bi (0.500, 0.500, 0.500)
Tc (0.000, 0.000, 0.000)

Density functional theory data (PBEsol) for crystalline BiTe2N2 at its relaxed geometry.

Values from the calculation:
energy relative to the elements, uncorrected	2.158	eV/atom
D(E_F)	6.8	states/eV per cell
relative energy among the computed polymorphs	867	meV/atom

Cell: 4.277 5.962 5.962 Å, 90.00 90.00 90.00°
Site moments in Bohr magnetons follow the coordinates.
Sites, in units of the cell vectors:
Te (0.000, 0.000, 0.500)  -0.05
Te (0.000, 0.500, 0.000)  -0.05
Bi (0.000, 0.000, 0.000)  -0.01
N (0.500, 0.500, 0.500)  1.78
N (0.500, 0.000, 0.000)  0.67

Density functional theory data (PBEsol) for crystalline BiTe2N2 at its relaxed geometry.

Values from the calculation:
energy relative to the elements, uncorrected	1.291	eV/atom
D(E_F)	2.8	states/eV per cell
relative energy among the computed polymorphs	0	meV/atom

Cell: 4.247 4.247 5.687 Å, 90.00 90.00 90.00°
Sites, in units of the cell vectors:
Te (0.000, 0.000, 0.000)
Te (0.000, 0.000, 0.500)
Bi (0.500, 0.500, 0.500)
N (0.000, 0.500, 0.000)
N (0.500, 0.000, 0.000)

Density functional theory data (PBEsol) for crystalline TiBiTeN2 at its relaxed geometry.

Values from the calculation:
energy relative to the elements, uncorrected	0.387	eV/atom
D(E_F)	2.5	states/eV per cell

Cell: 4.104 4.104 5.424 Å, 90.00 90.00 90.00°
Sites, in units of the cell vectors:
N (0.000, 0.500, 0.000)
N (0.500, 0.000, 0.000)
Te (0.000, 0.000, 0.500)
Bi (0.500, 0.500, 0.500)
Ti (0.000, 0.000, 0.000)

Density functional theory data (PBEsol) for crystalline TlBiTeN2 at its relaxed geometry.

Values from the calculation:
energy relative to the elements, uncorrected	1.318	eV/atom
D(E_F)	3.7	states/eV per cell

Cell: 4.401 4.401 6.238 Å, 90.00 90.00 90.00°
Site moments in Bohr magnetons follow the coordinates.
Sites, in units of the cell vectors:
Tl (0.500, 0.500, 0.500)  -0.01
Te (0.000, 0.000, 0.500)  0.04
Bi (0.000, 0.000, 0.000)  -0.07
N (0.000, 0.500, 0.000)  0.66
N (0.500, 0.000, 0.000)  0.66

Density functional theory data (PBEsol) for crystalline TiBiN3 at its relaxed geometry.

Values from the calculation:
energy relative to the elements, uncorrected	1.590	eV/atom
D(E_F)	4.0	states/eV per cell

Cell: 4.169 4.169 4.169 Å, 90.00 90.00 90.00°
Site moments in Bohr magnetons follow the coordinates.
Sites, in units of the cell vectors:
N (0.000, 0.500, 0.000)  0.21
N (0.000, 0.000, 0.500)  0.21
N (0.500, 0.000, 0.000)  0.21
Bi (0.000, 0.000, 0.000)  0.00
Ti (0.500, 0.500, 0.500)  -0.84

Density functional theory data (PBEsol) for crystalline TiBi3N at its relaxed geometry.

Values from the calculation:
energy relative to the elements, uncorrected	1.149	eV/atom
D(E_F)	3.3	states/eV per cell

Cell: 5.291 5.291 5.291 Å, 90.00 90.00 90.00°
Site moments in Bohr magnetons follow the coordinates.
Sites, in units of the cell vectors:
N (0.500, 0.500, 0.500)  1.60
Bi (0.000, 0.500, 0.000)  -0.05
Bi (0.000, 0.000, 0.500)  -0.05
Bi (0.500, 0.000, 0.000)  -0.05
Ti (0.000, 0.000, 0.000)  0.12

Density functional theory data (PBEsol) for crystalline ZrTlBi2N at its relaxed geometry.

Values from the calculation:
energy relative to the elements, uncorrected	0.501	eV/atom
D(E_F)	3.9	states/eV per cell

Cell: 4.606 4.923 4.923 Å, 90.00 90.00 90.00°
Sites, in units of the cell vectors:
Tl (0.500, 0.000, 0.000)
Bi (0.000, 0.000, 0.500)
Bi (0.000, 0.500, 0.000)
Zr (0.500, 0.500, 0.500)
N (0.000, 0.000, 0.000)

Density functional theory data (PBEsol) for crystalline YBiN2 at its relaxed geometry.

Values from the calculation:
energy relative to the elements, uncorrected	-0.404	eV/atom
D(E_F)	0.4	states/eV per cell

Cell: 5.320 5.320 6.622 Å, 113.68 113.68 90.00°
Sites, in units of the cell vectors:
Y (0.750, 0.250, 0.500)
Y (0.500, 0.500, 0.000)
Bi (0.250, 0.750, 0.500)
Bi (0.000, 0.000, 0.000)
N (0.398, 0.875, 0.250)
N (0.852, 0.375, 0.250)
N (0.125, 0.148, 0.750)
N (0.625, 0.602, 0.750)

Density functional theory data (PBEsol) for crystalline ZnBiN2 at its relaxed geometry.

Values from the calculation:
energy relative to the elements, uncorrected	0.559	eV/atom
D(E_F)	1.6	states/eV per cell

Cell: 3.580 3.580 6.293 Å, 73.47 73.47 60.00°
Sites, in units of the cell vectors:
Zn (0.000, 0.000, 0.000)
Bi (0.500, 0.500, 0.500)
N (0.898, 0.898, 0.305)
N (0.102, 0.102, 0.695)

Density functional theory data (PBEsol) for crystalline Na3Bi at its relaxed geometry.

Values from the calculation:
energy relative to the elements	-36	kJ per mole of atoms
D(E_F)	0.6	states/eV per cell
relative energy among the computed polymorphs	7	meV/atom

Cell: 5.380 5.380 5.380 Å, 60.00 60.00 60.00°
Sites, in units of the cell vectors:
Na (0.250, 0.250, 0.250)
Na (0.750, 0.750, 0.750)
Na (0.500, 0.500, 0.500)
Bi (0.000, 0.000, 0.000)

Density functional theory data (PBEsol) for crystalline NaBi3 at its relaxed geometry.

Values from the calculation:
energy relative to the elements	-13	kJ per mole of atoms
D(E_F)	3.8	states/eV per cell

Cell: 5.676 6.921 6.921 Å, 120.00 90.00 90.00°
Sites, in units of the cell vectors:
Na (0.750, 0.333, 0.667)
Na (0.250, 0.667, 0.333)
Bi (0.750, 0.836, 0.672)
Bi (0.750, 0.328, 0.164)
Bi (0.250, 0.164, 0.836)
Bi (0.250, 0.164, 0.328)
Bi (0.250, 0.672, 0.836)
Bi (0.750, 0.836, 0.164)